[1]
KZrPt2 (SCAN, PBEsol geometry); space group = P4/mmm; DFT total energy = -182.5 eV per cell; energy of formation = -0.77 eV per atom; ρ = 9.92 g/cm³
1.0
3.305 0.000 0.000
0.000 3.305 0.000
0.000 0.000 7.972
K Zr Pt
1 1 2
Direct
0.000 0.000 0.000 K
0.000 0.000 0.500 Zr
0.500 0.500 0.315 Pt
0.500 0.500 0.685 Pt

=====

[2]
KZr2Pt (SCAN, PBEsol geometry); space group = R-3m; E above lowest polymorph = 0.0 kJ per mole of atoms; DFT total energy = -140.3 eV per cell; energy of formation = -0.10 eV per atom; ρ = 5.90 g/cm³
1.0
1.827 1.055 10.147
-1.827 1.055 10.147
0.000 -2.109 10.147
K Zr Pt
1 2 1
Direct
0.000 0.000 0.000 K
0.219 0.219 0.219 Zr
0.781 0.781 0.781 Zr
0.500 0.500 0.500 Pt

=====

[3]
KRbRe2S (SCAN, PBEsol geometry); space group = P4/mmm; DFT total energy = -167.5 eV per cell; E_form (uncorrected) = 2.671 eV/atom; ρ = 4.77 g/cm³
1.0
5.728 0.000 0.000
0.000 5.728 0.000
0.000 0.000 5.613
K Rb Re S
1 1 2 1
Direct
0.000 0.000 0.000 K
0.500 0.500 0.500 Rb
0.000 0.500 0.000 Re
0.500 0.000 0.000 Re
0.000 0.000 0.500 S